Entry 1:
Compound: ZnCuSn2P
Source: the Alexandria database
Functional: PBE-GGA
Structure: optimized geometry

The structure in POSCAR format:
```
ZnCuSn2P
1.0
5.3096 0.0000 0.0000
0.0000 5.3096 0.0000
0.0000 0.0000 4.2679
Zn Cu Sn P
1 1 2 1
Cartesian
0.0000 0.0000 0.0000
2.6548 2.6548 2.1340
0.0000 2.6548 2.1340
2.6548 0.0000 2.1340
2.6548 2.6548 0.0000
```

Properties
E_form ... 424 meV/atom

=====

Entry 2:
Compound: BaLa2Mo
Source: the Alexandria database
Functional: PBE-GGA
Structure: optimized geometry

The structure in POSCAR format:
```
BaLa2Mo
1.0
1.8900 -2.9616 0.0000
1.8900 2.9616 0.0000
0.0000 0.0000 11.5995
Ba La Mo
1 2 1
Cartesian
0.0000 0.0000 0.0000
0.0000 0.0000 7.0180
1.8900 0.0000 3.6836
1.8900 0.0000 8.9779
```

Properties
E_form ... 643 meV/atom
Excess energy over the best structure of this formula in the dataset ... 289 meV/atom

=====

Entry 3:
Compound: LiHf3Se6
Source: the Alexandria database
Functional: PBE-GGA
Structure: optimized geometry

The structure in POSCAR format:
```
LiHf3Se6
1.0
3.3365 1.9263 6.1806
-3.3365 1.9263 6.1806
0.0000 -3.8526 6.1806
Li Hf Se
1 3 6
Cartesian
0.0000 0.0000 0.0000
0.0000 0.0000 5.8863
0.0000 0.0000 9.0877
0.0000 0.0000 15.2003
-1.1583 -1.8170 7.4697
-2.2409 -0.0490 10.5787
-0.9944 1.9116 7.4696
1.1629 -1.9161 10.5787
2.1527 -0.0947 7.4696
1.0780 1.9652 10.5787
```

=====

Entry 4:
Compound: PrHg3I9
Source: the Alexandria database
Functional: PBE-GGA
Structure: optimized geometry

The structure in POSCAR format:
```
PrHg3I9
1.0
10.4632 -5.3318 0.0000
10.4632 5.3318 0.0000
-9.5099 0.0000 11.5953
Pr Hg I
2 6 18
Cartesian
5.7082 2.8507 5.7977
10.4632 -2.8507 0.0000
-1.8182 0.7943 9.1372
2.9367 -0.7943 3.3395
10.1647 0.7633 3.8763
5.4098 -0.7633 9.6740
16.4204 1.1649 2.0480
11.6655 -1.1649 7.8457
-3.3017 2.5937 10.7892
4.0260 4.6265 7.8207
2.2703 0.3183 0.8138
-2.4846 -0.3183 6.6114
2.9842 1.3385 5.3680
0.9012 1.6897 9.2375
7.6883 2.0733 3.4059
-1.7707 -1.3385 11.1657
1.4532 -2.5937 4.9915
5.3577 1.5976 11.2440
5.6562 -1.6897 3.4398
6.6166 0.1905 7.1787
11.3715 -0.1905 1.3810
2.9334 -2.0733 9.2036
10.2111 0.9549 9.1025
10.1126 -1.5976 5.4464
8.7809 -4.6265 2.0230
14.9660 -0.9549 3.3048
```

=====

Entry 5:
Compound: Tc3OsF
Source: the Alexandria database
Functional: PBE-GGA
Structure: optimized geometry

The structure in POSCAR format:
```
Tc3OsF
1.0
4.7392 0.0000 0.0000
0.0000 4.7392 0.0000
0.0000 0.0000 4.7392
Tc Os F
3 1 1
Cartesian
0.0000 0.0000 2.3696
0.0000 2.3696 0.0000
2.3696 0.0000 0.0000
0.0000 0.0000 0.0000
2.3696 2.3696 2.3696
```

=====

Entry 6:
Compound: La3YN4
Source: the Alexandria database
Functional: PBE-GGA
Structure: optimized geometry

The structure in POSCAR format:
```
La3YN4
1.0
5.2197 0.0000 0.0000
0.0000 5.2197 0.0000
0.0000 0.0000 5.2197
La Y N
3 1 4
Cartesian
0.0000 0.0000 2.6098
0.0000 2.6098 0.0000
2.6098 0.0000 0.0000
2.6098 2.6098 2.6098
0.0000 0.0000 0.0000
0.0000 2.6098 2.6098
2.6098 0.0000 2.6098
2.6098 2.6098 0.0000
```

Properties
Excess energy over the best structure of this formula in the dataset ... 25 meV/atom

=====

Entry 7:
Compound: Pr2GaBi
Source: the Alexandria database
Functional: PBE-GGA
Structure: optimized geometry

The structure in POSCAR format:
```
Pr2GaBi
1.0
2.2022 1.2715 7.7272
-2.2022 1.2715 7.7272
0.0000 -2.5429 7.7272
Pr Ga Bi
2 1 1
Cartesian
0.0000 0.0000 5.7593
0.0000 0.0000 17.4222
0.0000 0.0000 11.5908
0.0000 0.0000 0.0000
```

Properties
E_form ... -600 meV/atom
Excess energy over the best structure of this formula in the dataset ... 110 meV/atom

=====

Entry 8:
Compound: GdErScCu
Source: the Alexandria database
Functional: PBE-GGA
Structure: optimized geometry

The structure in POSCAR format:
```
GdErScCu
1.0
0.0000 3.6428 3.6428
3.6428 0.0000 3.6428
3.6428 3.6428 0.0000
Gd Er Sc Cu
1 1 1 1
Cartesian
0.0000 0.0000 0.0000
3.6428 3.6428 3.6428
5.4641 5.4641 5.4641
1.8214 1.8214 1.8214
```

Properties
E_form ... 123 meV/atom

=====

Entry 9:
Compound: Tb6Pd2Pt
Source: the Alexandria database
Functional: PBE-GGA
Structure: optimized geometry

The structure in POSCAR format:
```
Tb6Pd2Pt
1.0
6.5963 0.0000 0.0000
0.0000 7.3143 0.0000
-6.1142 0.0000 10.2291
Tb Pd Pt
12 4 2
Cartesian
-2.0561 1.3674 4.4036
-5.1132 2.2898 9.5181
-0.9431 4.8977 4.3654
-4.0002 6.0737 9.4799
1.1732 0.3057 2.4864
-1.8839 3.3515 7.6010
2.3661 3.9628 2.6281
-0.6910 7.0086 7.7427
4.4823 1.2405 0.7492
1.4252 2.4166 5.8638
5.5953 5.0245 0.7110
2.5382 5.9469 5.8256
-3.3494 0.8569 7.5068
-0.2923 2.8002 2.3922
0.7744 4.5141 7.8369
3.8315 6.4574 2.7223
0.2411 0.0000 5.1146
3.2982 3.6571 0.0000
```

Properties
E_form ... -645 meV/atom
Excess energy over the best structure of this formula in the dataset ... 20 meV/atom

=====

Entry 10:
Compound: LaZr2Au
Source: the Alexandria database
Functional: PBE-GGA
Structure: optimized geometry

The structure in POSCAR format:
```
LaZr2Au
1.0
3.4042 0.0000 0.0000
0.0000 5.2174 0.0000
-0.9462 0.0000 5.5465
La Zr Au
1 2 1
Cartesian
0.0000 0.0000 0.0000
0.3930 2.6087 4.0370
2.0650 2.6087 1.5095
1.2290 0.0000 2.7733
```

Properties
E_form ... -78 meV/atom
Excess energy over the best structure of this formula in the dataset ... 206 meV/atom

=====

Entry 11:
Compound: KAc2Pb3Se6
Source: the Alexandria database
Functional: PBE-GGA
Structure: optimized geometry

The structure in POSCAR format:
```
KAc2Pb3Se6
1.0
9.6530 -2.3351 0.0000
9.6530 2.3351 0.0000
-1.7225 0.0000 8.6049
K Ac Pb Se
1 2 3 6
Cartesian
0.0000 0.0000 0.0000
5.2947 0.0000 5.8234
12.2889 0.0000 2.7815
-0.8612 0.0000 4.3024
6.2927 0.0000 1.3040
11.2909 0.0000 7.3009
2.2605 0.0000 4.8801
3.2486 0.0000 0.7098
8.2887 0.0000 6.3190
9.2949 0.0000 2.2859
14.3349 0.0000 7.8951
15.3230 0.0000 3.7248
```

=====

Entry 12:
Compound: RuWSe
Source: the Alexandria database
Functional: PBE-GGA
Structure: optimized geometry

The structure in POSCAR format:
```
RuWSe
1.0
12.3377 0.0000 0.0000
0.0000 1.5557 2.7022
0.0000 -1.5557 2.7022
Ru W Se
2 2 2
Cartesian
1.8383 0.0000 0.0000
10.4994 0.0000 0.0000
0.0000 0.0000 1.7938
6.1689 0.0000 1.3917
4.3733 0.0000 3.1829
7.9645 0.0000 3.1829
```

Properties
Excess energy over the best structure of this formula in the dataset ... 54 meV/atom

=====

Entry 13:
Compound: RbZrP2S
Source: the Alexandria database
Functional: PBE-GGA
Structure: optimized geometry

The structure in POSCAR format:
```
RbZrP2S
1.0
5.0354 0.0000 0.0000
0.0000 5.0354 0.0000
0.0000 0.0000 5.2179
Rb Zr P S
1 1 2 1
Cartesian
0.0000 0.0000 0.0000
2.5177 2.5177 2.6089
0.0000 2.5177 0.0000
2.5177 0.0000 0.0000
0.0000 0.0000 2.6089
```

Properties
Excess energy over the best structure of this formula in the dataset ... 2052 meV/atom

=====

Entry 14:
Compound: CsBP2Cl
Source: the Alexandria database
Functional: PBE-GGA
Structure: optimized geometry

The structure in POSCAR format:
```
CsBP2Cl
1.0
4.2337 0.0000 0.0000
0.0000 4.2337 0.0000
0.0000 0.0000 8.6241
Cs B P Cl
1 1 2 1
Cartesian
0.0000 0.0000 0.0000
2.1168 2.1168 4.3121
0.0000 2.1168 4.3121
2.1168 0.0000 4.3121
2.1168 2.1168 0.0000
```

Properties
Excess energy over the best structure of this formula in the dataset ... 0 meV/atom

=====

Entry 15:
Compound: KLaAu2
Source: the Alexandria database
Functional: PBE-GGA
Structure: optimized geometry

The structure in POSCAR format:
```
KLaAu2
1.0
-2.2445 2.2445 5.3379
2.2445 -2.2445 5.3379
2.2445 2.2445 -5.3379
K La Au
1 1 2
Cartesian
0.0000 0.0000 0.0000
2.2445 0.0000 2.6690
0.0000 0.0000 5.3379
0.0000 2.2445 2.6690
```

Properties
E_form ... -290 meV/atom

=====

Entry 16:
Compound: CrSbCl2
Source: the Alexandria database
Functional: PBE-GGA
Structure: optimized geometry

The structure in POSCAR format:
```
CrSbCl2
1.0
5.1484 0.0000 0.0000
0.0000 5.1484 0.0000
0.0000 0.0000 3.3760
Cr Sb Cl
1 1 2
Cartesian
0.0000 0.0000 0.0000
2.5742 2.5742 0.0000
0.0000 2.5742 1.6880
2.5742 0.0000 1.6880
```

Properties
Excess energy over the best structure of this formula in the dataset ... 638 meV/atom

=====

Entry 17:
Compound: Na2Cd5Hg4
Source: the Alexandria database
Functional: PBE-GGA
Structure: optimized geometry

The structure in POSCAR format:
```
Na2Cd5Hg4
1.0
0.0000 5.0295 9.7539
3.0386 0.0000 9.7539
3.0386 5.0295 0.0000
Na Cd Hg
2 5 4
Cartesian
3.0386 5.0295 2.1840
3.0386 5.0295 17.3239
1.5193 2.5147 0.0000
1.5193 2.5147 4.8770
1.5193 2.5147 9.7539
3.0386 5.0295 9.7539
4.5579 7.5442 14.6309
3.0386 3.4718 7.1922
3.0386 3.4718 12.3156
3.0386 6.5871 7.1922
3.0386 6.5871 12.3156
```

Properties
E_form ... -58 meV/atom

=====

Entry 18:
Compound: CaZnCr4
Source: the Alexandria database
Functional: PBE-GGA
Structure: optimized geometry

The structure in POSCAR format:
```
CaZnCr4
1.0
0.0000 3.5370 3.5370
3.5370 0.0000 3.5370
3.5370 3.5370 0.0000
Ca Zn Cr
1 1 4
Cartesian
0.0000 0.0000 0.0000
1.7685 1.7685 1.7685
4.4188 2.6551 2.6551
2.6551 4.4188 2.6551
2.6551 2.6551 4.4188
4.4188 4.4188 4.4188
```

Properties
E_form ... 595 meV/atom

=====

Entry 19:
Compound: NaSrZnAu
Source: the Alexandria database
Functional: PBE-GGA
Structure: optimized geometry

The structure in POSCAR format:
```
NaSrZnAu
1.0
0.0000 3.7481 3.7481
3.7481 0.0000 3.7481
3.7481 3.7481 0.0000
Na Sr Zn Au
1 1 1 1
Cartesian
0.0000 0.0000 0.0000
3.7481 3.7481 3.7481
1.8740 1.8740 1.8740
5.6221 5.6221 5.6221
```

Properties
E_form ... -286 meV/atom

=====

Entry 20:
Compound: SmDyAlCu
Source: the Alexandria database
Functional: PBE-GGA
Structure: optimized geometry

The structure in POSCAR format:
```
SmDyAlCu
1.0
0.0000 3.6049 3.6049
3.6049 0.0000 3.6049
3.6049 3.6049 0.0000
Sm Dy Al Cu
1 1 1 1
Cartesian
0.0000 0.0000 0.0000
3.6049 3.6049 3.6049
1.8025 1.8025 1.8025
5.4074 5.4074 5.4074
```

Properties
E_form ... -254 meV/atom

=====

Number 1: magnetic moment 0.0 μB/f.u., electronic total energy -16.67 eV/cell. Number 2: magnetic moment 0.0 μB/f.u., electronic total energy -20.04 eV/cell. Number 3: magnetic moment 0.0 μB/f.u., electronic total energy -65.06 eV/cell. Number 4: magnetic moment 0.0 μB/f.u., electronic total energy -54.62 eV/cell. Number 5: magnetic moment 4.1 μB/f.u., electronic total energy -35.72 eV/cell. Number 6: magnetic moment 0.0 μB/f.u., electronic total energy -65.41 eV/cell. Number 7: magnetic moment 0.0 μB/f.u., electronic total energy -18.87 eV/cell. Number 8: magnetic moment 7.3 μB/f.u., electronic total energy -28.58 eV/cell. Number 9: magnetic moment 0.0 μB/f.u., electronic total energy -100.02 eV/cell. Number 10: magnetic moment 0.0 μB/f.u., electronic total energy -25.61 eV/cell. Number 11: magnetic moment 0.0 μB/f.u., electronic total energy -55.20 eV/cell. Number 12: magnetic moment 0.0 μB/f.u., electronic total energy -50.13 eV/cell. Number 13: magnetic moment 0.0 μB/f.u., electronic total energy -16.22 eV/cell. Number 14: magnetic moment 0.0 μB/f.u., electronic total energy -18.77 eV/cell. Number 15: magnetic moment 0.0 μB/f.u., electronic total energy -13.74 eV/cell. Number 16: magnetic moment 4.7 μB/f.u., electronic total energy -16.50 eV/cell. Number 17: magnetic moment 0.0 μB/f.u., electronic total energy -9.06 eV/cell. Number 18: magnetic moment 0.0 μB/f.u., electronic total energy -38.20 eV/cell. Number 19: magnetic moment 0.0 μB/f.u., electronic total energy -8.70 eV/cell. Number 20: magnetic moment 0.0 μB/f.u., electronic total energy -18.18 eV/cell.